# 1
A crystal of CaZr2In relaxed with PBEsol. Source: Alexandria via LeMat-Bulk, functional SCAN.

Lattice parameters (Å, degrees): 10.473 3.193 5.822 90.00 99.35 90.00
Space group Cm (No. 8)
Unique sites:
Ca 0.000 0.000 0.000
Zr 0.011 0.500 0.497
Zr 0.269 0.500 0.312
In 0.251 0.000 0.763

DOS at the Fermi energy, states/eV/cell: 7.7
DFT total energy, eV/atom: -26.11
Crystal system: monoclinic



# 2
A crystal of ZnTeRu relaxed with PBEsol. Source: Alexandria via LeMat-Bulk, functional SCAN.

Lattice parameters (Å, degrees): 3.2405 3.2405 6.0630 90.00 90.00 120.00
Space group P3m1 (No. 156)
Unique sites:
Zn 0.0000 0.0000 0.0000
Te 0.6667 0.3333 0.4104
Ru 0.3333 0.6667 0.7025

Formation energy without anion corrections, eV/atom: 0.13
DOS at the Fermi energy, states/eV/cell: 1.5
Crystal system: trigonal